Record 1
AgPSeS2 | PBEsol | relaxed

Cell: 4.6617 4.6617 4.7615 Å, 90.00 90.00 90.00°
With the nearest neighbours (Å) after each atom.
Space group P4/mmm (No. 123)
One atom of each set of equivalent atoms:
1 Ag 0.0000 0.0000 0.0000 [1 per cell]  4 S 2.33, 2 P 2.38
2 P 0.0000 0.0000 0.5000 [1 per cell]  2 Ag 2.38
3 Se 0.5000 0.5000 0.5000 [1 per cell]  4 P 3.30, 8 S 3.33
4 S 0.0000 0.5000 0.0000 [2 per cell]  2 Ag 2.33

## Properties
**Total DFT energy (no corrections)**: -16.510 eV per cell



Record 2
Li2RePt | PBEsol | relaxed

Cell: 3.6086 3.6086 8.7305 Å, 90.00 90.00 90.00°
With the nearest neighbours (Å) after each atom.
Space group I4/mmm (No. 139)
One atom of each set of equivalent atoms:
1 Li 0.0000 0.5000 0.2500 [4 per cell]  4 Li 2.55, 4 Re 2.83, 4 Pt 2.83
2 Re 0.0000 0.0000 0.0000 [2 per cell]  4 Pt 2.55, 8 Li 2.83
3 Pt 0.0000 0.0000 0.5000 [2 per cell]  4 Re 2.55, 8 Li 2.83

## Properties
**Energy relative to the elements**: 264 meV per atom
**ΔE to the lowest computed polymorph**: 375 meV/atom



Record 3
Zr3TaH | PBEsol | relaxed

Cell: 4.4043 4.4043 4.4043 Å, 90.00 90.00 90.00°
With the nearest neighbours (Å) after each atom.
Space group Pm-3m (No. 221)
One atom of each set of equivalent atoms:
1 Zr 0.0000 0.0000 0.5000 [3 per cell]  2 H 2.20
2 Ta 0.5000 0.5000 0.5000 [1 per cell]  12 Zr 3.11
3 H 0.0000 0.0000 0.0000 [1 per cell]  6 Zr 2.20

## Properties
**Total DFT energy (no corrections)**: -43.125 eV per cell



Record 4
AgSb2TePt | PBEsol | relaxed

Cell: 5.1433 5.1433 5.2046 Å, 90.00 90.00 90.00°
With the nearest neighbours (Å) after each atom.
Space group P4/mmm (No. 123)
One atom of each set of equivalent atoms:
1 Ag 0.0000 0.0000 0.0000 [1 per cell]  4 Sb 2.57, 2 Te 2.60
2 Sb 0.0000 0.5000 0.0000 [2 per cell]  2 Ag 2.57
3 Te 0.0000 0.0000 0.5000 [1 per cell]  2 Ag 2.60
4 Pt 0.5000 0.5000 0.5000 [1 per cell]  4 Te 3.64, 8 Sb 3.66

## Properties
**ΔE to the lowest computed polymorph**: 525 meV/atom